Record 1
K2FeMo | SCAN | PBEsol geometry

Total moment   0.7 μB/cell
Space-group type   I4/mmm (139)
E above lowest polymorph   0.6439 eV/atom
Calculated volume   19.8 Å³ per atom
D(E_F)   0.90 states/eV per atom
Energy of formation from the pure elements   1.57 eV/atom
Total DFT energy (no corrections)   -15.8502 eV/atom

Cell lengths 3.6849, 3.6849, 6.3861 Å; angles 106.77, 106.77, 90.00 degrees
Site moments in Bohr magnetons follow the coordinates.
Sites, in units of the cell vectors:
Mo 0.5000 0.5000 0.0000  -1.58
K 0.7500 0.2500 0.5000  -0.01
K 0.2500 0.7500 0.5000  -0.01
Fe 0.0000 0.0000 0.0000  2.46

---

Record 2
NiAsS | SCAN | PBEsol geometry

Total moment   0.0 μB/cell
Space-group type   P2_13 (198)
Calculated volume   14.7 Å³ per atom
D(E_F)   0.54 states/eV per atom
Total DFT energy (no corrections)   -15.7223 eV/atom

Cell lengths 5.6080, 5.6080, 5.6080 Å; angles 90.00, 90.00, 90.00 degrees
Sites, in units of the cell vectors:
S 0.3828 0.3828 0.3828
S 0.8828 0.1172 0.6172
S 0.1172 0.6172 0.8828
S 0.6172 0.8828 0.1172
Ni 0.0081 0.4919 0.5081
Ni 0.5081 0.0081 0.4919
Ni 0.4919 0.5081 0.0081
Ni 0.9919 0.9919 0.9919
As 0.8774 0.3774 0.1226
As 0.6226 0.6226 0.6226
As 0.3774 0.1226 0.8774
As 0.1226 0.8774 0.3774

---

Record 3
ZnNi2Pb | SCAN | PBEsol geometry

Total moment   0.0 μB/cell
Space-group type   P4mm (99)
Calculated volume   15.0 Å³ per atom
D(E_F)   0.65 states/eV per atom
Energy of formation from the pure elements   0.23 eV/atom
Total DFT energy (no corrections)   -30.1775 eV/atom

Cell lengths 3.1719, 3.1719, 5.9830 Å; angles 90.00, 90.00, 90.00 degrees
Sites, in units of the cell vectors:
Ni 0.5000 0.5000 0.2176
Ni 0.0000 0.0000 0.9922
Pb 0.0000 0.0000 0.4666
Zn 0.5000 0.5000 0.8236

---

Record 4
IrRhW | SCAN | PBEsol geometry

Total moment   0.0 μB/cell
Space-group type   F-43m (216)
E above lowest polymorph   0.6897 eV/atom
Calculated volume   17.2 Å³ per atom
D(E_F)   1.01 states/eV per atom
Energy of formation from the pure elements   0.44 eV/atom
Total DFT energy (no corrections)   -57.7460 eV/atom

Cell lengths 4.1802, 4.1802, 4.1802 Å; angles 60.00, 60.00, 60.00 degrees
Sites, in units of the cell vectors:
Rh 0.0000 0.0000 0.0000
W 0.5000 0.5000 0.5000
Ir 0.2500 0.2500 0.2500